A relaxed structure of Nd3Sm3Tl. Source: Alexandria, functional GGA-PBE.

a = 8.603 Å, b = 8.603 Å, c = 8.870 Å
α = 60.99°, β = 60.99°, γ = 60.00°
Positions (direct):
Sm1 0.726 0.559 0.645
Nd1 0.296 0.794 0.834
Nd2 0.075 0.296 0.834
Sm2 0.070 0.726 0.645
Nd3 0.925 0.704 0.166
Tl1 0.336 0.336 0.993
Sm3 0.441 0.930 0.355
Sm4 0.930 0.274 0.355
Nd4 0.206 0.925 0.166
Nd5 0.794 0.075 0.834
Sm5 0.559 0.070 0.645
Nd6 0.704 0.206 0.166
Tl2 0.664 0.664 0.007
Sm6 0.274 0.441 0.355

Output
Distance to the lowest polymorph of the same formula: 0.168 eV per atom
Magnetization: 0.00 μB/f.u.